Entry 1:
The following is a PBE-GGA calculation of a geometry-optimized BaCaPmEu structure, from Alexandria via LeMat-Bulk.

a = 8.8669 Å, b = 8.8669 Å, c = 8.8669 Å
α = 90.00°, β = 90.00°, γ = 90.00°
Space group F-43m (No. 216)
Asymmetric unit:
Ba 0.0000 0.0000 0.0000 x4
Ca 0.2500 0.2500 0.2500 x4
Pm 0.0000 0.0000 0.5000 x4
Eu 0.2500 0.2500 0.7500 x4

## Properties
Formation energy from the elements (kJ per mole of atoms): 14
Crystal system: cubic

Entry 2:
The following is a PBE-GGA calculation of a geometry-optimized BaSrCaEu structure, from Alexandria via LeMat-Bulk.

a = 9.2833 Å, b = 9.2833 Å, c = 9.2833 Å
α = 90.00°, β = 90.00°, γ = 90.00°
Space group F-43m (No. 216)
Asymmetric unit:
Ba 0.0000 0.0000 0.0000 x4
Sr 0.2500 0.2500 0.7500 x4
Ca 0.0000 0.0000 0.5000 x4
Eu 0.2500 0.2500 0.2500 x4

## Properties
Formation energy from the elements (kJ per mole of atoms): 4
Crystal system: cubic

Entry 3:
The following is a PBE-GGA calculation of a geometry-optimized BaCaEuTl structure, from Alexandria via LeMat-Bulk.

a = 8.5636 Å, b = 8.5636 Å, c = 8.5636 Å
α = 90.00°, β = 90.00°, γ = 90.00°
Space group F-43m (No. 216)
Asymmetric unit:
Ba 0.0000 0.0000 0.0000 x4
Ca 0.2500 0.2500 0.2500 x4
Eu 0.0000 0.0000 0.5000 x4
Tl 0.2500 0.2500 0.7500 x4

## Properties
Formation energy from the elements (kJ per mole of atoms): -12
Crystal system: cubic

Entry 4:
The following is a PBE-GGA calculation of a geometry-optimized BaCaF structure, from Alexandria via LeMat-Bulk.

a = 14.8275 Å, b = 4.0568 Å, c = 7.3040 Å
α = 90.00°, β = 105.01°, γ = 90.00°
Space group Cm (No. 8)
Asymmetric unit:
Ba 0.0000 0.0000 0.0000 x2
Ba 0.2146 0.0000 0.6884 x2
Ca 0.2424 0.5000 0.2028 x2
Ca 0.4559 0.0000 0.4677 x2
F 0.1858 0.0000 0.0429 x2
F 0.2979 0.0000 0.3935 x2

## Properties
ΔE to the lowest computed polymorph (meV per atom): 63
Formation energy (no corrections) (eV/f.u.): -5.46
Crystal system: monoclinic